AcAsH2Pd after structural relaxation, computed with PBE.

For the uncorrected energy, the calculation gives -4.563 eV/atom. The symmetry is No. 99. The density comes out at 7.59 g cm⁻³. Its spin magnetization is 0.0 μB/f.u.

Unit cell a=5.8720 b=5.8720 c=6.6617 alpha=116.15 beta=116.15 gamma=90.00
Sites, in units of the cell vectors:
Pd1 0.4846 0.4846 0.9692
Pd2 0.9846 0.9846 0.9692
Ac1 0.3177 0.8177 0.6354
Ac2 0.8177 0.3177 0.6354
H1 0.2349 0.2349 0.9699
H2 0.2349 0.7349 0.9699
H3 0.7349 0.7349 0.9699
H4 0.7349 0.2349 0.9699
As1 0.2280 0.2280 0.4561
As2 0.7280 0.7280 0.4561

=====

CaDySnHg after structural relaxation, computed with PBE.

For the uncorrected energy, the calculation gives -3.302 eV/atom. The symmetry is No. 216. The density comes out at 8.04 g cm⁻³. Its formation energy is -0.575 eV/atom. Its spin magnetization is 0.0 μB/f.u.

Unit cell a=5.3422 b=5.3422 c=5.3422 alpha=60.00 beta=60.00 gamma=60.00
Sites, in units of the cell vectors:
Dy1 0.0000 0.0000 0.0000
Ca1 0.5000 0.5000 0.5000
Hg1 0.7500 0.7500 0.7500
Sn1 0.2500 0.2500 0.2500